1.
DFT (PBE) results for crystalline U2TcP2 at its relaxed geometry.

Lattice parameters (Å, degrees): 6.350 6.350 4.332 90.00 90.00 90.00
Space group P4/mbm (No. 127)
One atom of each set of equivalent atoms:
U  0.172  0.328  0.000 [4 per cell]
Tc  0.000  0.000  0.500 [2 per cell]
P  0.133  0.633  0.500 [4 per cell]

Computed properties:
For the density of states at the Fermi level, the calculation gives 8.60 states/eV/f.u. The calculation puts the calculated volume at 17.5 A^3/atom. As for the energy relative to the elements: -0.69 eV/atom.

***

2.
DFT (PBE) results for crystalline NdSm2YH at its relaxed geometry.

Lattice parameters (Å, degrees): 5.105 5.105 5.082 90.00 90.00 90.00
Space group P4/mmm (No. 123)
One atom of each set of equivalent atoms:
Nd  0.000  0.000  0.000 [1 per cell]
Sm  0.000  0.500  0.500 [2 per cell]
Y  0.500  0.500  0.000 [1 per cell]
H  0.500  0.500  0.500 [1 per cell]

Computed properties:
For the density of states at the Fermi level, the calculation gives 4.59 states/eV/f.u. The calculation puts the calculated volume at 26.5 A^3/atom. Its total energy is -4.978 eV per atom.

***

3.
DFT (PBE) results for crystalline Y4Er2Mg at its relaxed geometry.

Lattice parameters (Å, degrees): 5.911 3.626 10.637 90.00 99.12 90.00
Space group P2/m (No. 10)
One atom of each set of equivalent atoms:
Y  0.057  0.000  0.198 [2 per cell]
Y  0.424  0.500  0.751 [2 per cell]
Er  0.000  0.500  0.500 [1 per cell]
Er  0.500  0.000  0.500 [1 per cell]
Mg  0.500  0.000  0.000 [1 per cell]

Computed properties:
For the density of states at the Fermi level, the calculation gives 8.51 states/eV/f.u. The calculation puts the calculated volume at 32.2 A^3/atom. As for the energy relative to the elements: 0.14 eV/atom. Its energy above the most stable polymorph in this dataset is 38.7 meV/atom.

***

4.
DFT (PBE) results for crystalline UMnZn at its relaxed geometry.

Lattice parameters (Å, degrees): 9.858 4.611 4.463 90.00 94.78 90.00
Space group C2/m (No. 12)
One atom of each set of equivalent atoms:
U  0.110  0.000  0.320 [4 per cell]
Mn  0.192  0.000  0.882 [4 per cell]
Zn  0.084  0.500  0.772 [4 per cell]

Computed properties:
For the density of states at the Fermi level, the calculation gives 4.01 states/eV/f.u. The calculation puts the calculated volume at 16.8 A^3/atom. As for the energy relative to the elements: -0.07 eV/atom. Its energy above the most stable polymorph in this dataset is 1.6 meV/atom.

***

5.
DFT (PBE) results for crystalline Dy4HoNi2 at its relaxed geometry.

Lattice parameters (Å, degrees): 7.480 6.368 7.907 90.00 112.41 90.00
Space group P2_1/m (No. 11)
One atom of each set of equivalent atoms:
Dy  0.027  0.250  0.387 [2 per cell]
Dy  0.250  0.750  0.344 [2 per cell]
Dy  0.408  0.005  0.769 [4 per cell]
Ho  0.150  0.250  0.028 [2 per cell]
Ni  0.254  0.750  0.995 [2 per cell]
Ni  0.381  0.250  0.411 [2 per cell]

Computed properties:
For the density of states at the Fermi level, the calculation gives 8.92 states/eV/f.u. The calculation puts the calculated volume at 24.9 A^3/atom. As for the energy relative to the elements: -0.15 eV/atom.

***

6.
DFT (PBE) results for crystalline Y3ZrTl4Se8 at its relaxed geometry.

Lattice parameters (Å, degrees): 8.2241 8.2241 23.4611 90.00 90.00 120.00
Space group R-3m (No. 166, hexagonal axes)
One atom of each set of equivalent atoms:
Y  0.0000  0.5000  0.0000 [9 per cell]
Zr  0.0000  0.0000  0.0000 [3 per cell]
Tl  0.0000  0.0000  0.5000 [3 per cell]
Tl  0.0000  0.5000  0.5000 [9 per cell]
Se  0.0000  0.0000  0.2643 [6 per cell]
Se  0.0119  0.5060  0.7345 [18 per cell]

Computed properties:
For the density of states at the Fermi level, the calculation gives 4.74 states/eV/f.u. The calculation puts the calculated volume at 28.6 A^3/atom. The calculation puts the uncorrected formation energy at -1.27 eV per atom.

***

7.
DFT (PBE) results for crystalline VCr2GaCo at its relaxed geometry.

Lattice parameters (Å, degrees): 4.550 4.550 4.586 90.00 90.00 90.00
Space group P4/mmm (No. 123)
One atom of each set of equivalent atoms:
V  0.000  0.000  0.000 [1 per cell]
Cr  0.000  0.500  0.500 [2 per cell]
Ga  0.000  0.000  0.500 [1 per cell]
Co  0.500  0.500  0.000 [1 per cell]

Computed properties:
For the density of states at the Fermi level, the calculation gives 5.71 states/eV/f.u. The calculation puts the calculated volume at 19.0 A^3/atom. As for the energy relative to the elements: 1.47 eV/atom.

***

8.
DFT (PBE) results for crystalline SmHo2Tm3S6 at its relaxed geometry.

Lattice parameters (Å, degrees): 16.929 3.869 7.812 90.00 103.69 90.00
Space group C2/m (No. 12)
One atom of each set of equivalent atoms:
Sm  0.000  0.000  0.000 [2 per cell]
Ho  0.166  0.500  0.331 [4 per cell]
Tm  0.000  0.000  0.500 [2 per cell]
Tm  0.165  0.500  0.834 [4 per cell]
S  0.000  0.500  0.261 [4 per cell]
S  0.166  0.000  0.586 [4 per cell]
S  0.171  0.000  0.083 [4 per cell]

Computed properties:
For the density of states at the Fermi level, the calculation gives 5.02 states/eV/f.u. The calculation puts the calculated volume at 20.7 A^3/atom. The calculation puts the uncorrected formation energy at -1.96 eV per atom.

***

9.
DFT (PBE) results for crystalline GdAl4Tl at its relaxed geometry.

Lattice parameters (Å, degrees): 7.963 7.963 7.963 90.00 90.00 90.00
Space group F-43m (No. 216)
One atom of each set of equivalent atoms:
Gd  0.000  0.000  0.000 [4 per cell]
Al  0.126  0.126  0.626 [16 per cell]
Tl  0.250  0.250  0.250 [4 per cell]

Computed properties:
For the density of states at the Fermi level, the calculation gives 4.00 states/eV/f.u. The calculation puts the calculated volume at 21.0 A^3/atom. As for the energy relative to the elements: -0.14 eV/atom.

***

10.
DFT (PBE) results for crystalline Ba2NdHg4 at its relaxed geometry.

Lattice parameters (Å, degrees): 5.734 5.734 14.922 90.00 90.00 90.00
Space group I4/mmm (No. 139)
One atom of each set of equivalent atoms:
Ba  0.000  0.000  0.226 [4 per cell]
Nd  0.000  0.000  0.500 [2 per cell]
Hg  0.000  0.500  0.104 [8 per cell]

Computed properties:
For the density of states at the Fermi level, the calculation gives 5.85 states/eV/f.u. The calculation puts the calculated volume at 35.0 A^3/atom. As for the energy relative to the elements: -0.39 eV/atom.

***

11.
DFT (PBE) results for crystalline SmEr2Ti at its relaxed geometry.

Lattice parameters (Å, degrees): 3.3506 3.3506 35.1689 90.00 90.00 120.00
Space group R-3m (No. 166, hexagonal axes)
One atom of each set of equivalent atoms:
Sm  0.0000  0.0000  0.0000 [3 per cell]
Er  0.0000  0.0000  0.4169 [6 per cell]
Ti  0.0000  0.0000  0.5000 [3 per cell]

Computed properties:
For the density of states at the Fermi level, the calculation gives 5.40 states/eV/f.u. The calculation puts the calculated volume at 28.5 A^3/atom. As for the energy relative to the elements: 0.42 eV/atom. Its energy above the most stable polymorph in this dataset is 271.2 meV/atom.

***

Repeat the ninth record exactly.
DFT (PBE) results for crystalline GdAl4Tl at its relaxed geometry.

Lattice parameters (Å, degrees): 7.963 7.963 7.963 90.00 90.00 90.00
Space group F-43m (No. 216)
One atom of each set of equivalent atoms:
Gd  0.000  0.000  0.000 [4 per cell]
Al  0.126  0.126  0.626 [16 per cell]
Tl  0.250  0.250  0.250 [4 per cell]

Computed properties:
For the density of states at the Fermi level, the calculation gives 4.00 states/eV/f.u. The calculation puts the calculated volume at 21.0 A^3/atom. As for the energy relative to the elements: -0.14 eV/atom.

***

The highest calculated volume belongs to which entry?
Ba2NdHg4

***

calculated volume of number 7 (VCr2GaCo)?
19.0 A^3/atom